This record from Alexandria via LeMat-Bulk describes K2TmRuO6 after structural relaxation. The functional is PBE.

Properties
Formation energy from raw total energies (meV/atom): -1600
Total magnetic moment (μB per formula unit): 1.01
Space-group type: P-3m1 (164)

a = 6.180 Å, b = 6.180 Å, c = 5.655 Å
α = 90.00°, β = 90.00°, γ = 120.00°
Positions (direct):
1 K 0.333 0.667 0.116
2 K 0.667 0.333 0.884
3 Tm 0.000 0.000 0.500
4 Ru 0.000 0.000 0.000
5 O 0.142 0.283 0.791
6 O 0.142 0.858 0.791
7 O 0.283 0.142 0.209
8 O 0.717 0.858 0.791
9 O 0.858 0.142 0.209
10 O 0.858 0.717 0.209